Pa4Se5F2 after structural relaxation. Source: the Alexandria database, functional GGA-PBE.

Properties
Symmetry: C2/m
E_tot (eV/atom): -6.994
Formation energy without anion corrections (kcal/mol of atoms): -37.28
Mass density (g/cm3): 8.746

a b c (Å): 3.8919 7.4087 9.8726
angles (deg): 112.14 101.37 90.00
Fractional positions:
1 Pa 0.7056 0.7056 0.4111
2 Pa 0.9998 0.7144 0.9995
3 Pa 0.2944 0.2944 0.5889
4 Pa 0.0002 0.2856 0.0005
5 Se 0.1609 0.9338 0.3219
6 Se 0.8391 0.0662 0.6781
7 Se 0.1612 0.3878 0.3223
8 Se 0.5000 0.0000 0.0000
9 Se 0.8388 0.6122 0.6777
10 F 0.5657 0.5643 0.1314
11 F 0.4343 0.4357 0.8686

---

PaSeF after structural relaxation. Source: the Alexandria database, functional GGA-PBE.

Properties
Symmetry: Pnma
E_tot (eV/atom): -7.144
Distance to the lowest polymorph of the same formula (meV per atom): 56.1
Formation energy without anion corrections (kcal/mol of atoms): -50.58
Mass density (g/cm3): 8.240

a b c (Å): 3.9439 9.4820 7.0916
angles (deg): 90.00 90.00 90.00
Fractional positions:
1 Pa 0.7500 0.1806 0.3508
2 Pa 0.7500 0.3194 0.8508
3 Pa 0.2500 0.6806 0.1492
4 Pa 0.2500 0.8194 0.6492
5 F 0.2500 0.8813 0.9635
6 F 0.2500 0.6187 0.4635
7 F 0.7500 0.3813 0.5365
8 F 0.7500 0.1187 0.0365
9 Se 0.2500 0.3677 0.1547
10 Se 0.2500 0.1323 0.6547
11 Se 0.7500 0.8677 0.3453
12 Se 0.7500 0.6323 0.8453

---

PaSeF after structural relaxation. Source: the Alexandria database, functional GGA-PBE.

Properties
Symmetry: P-6m2
E_tot (eV/atom): -7.200
Distance to the lowest polymorph of the same formula (meV per atom): 0.0
Formation energy without anion corrections (kcal/mol of atoms): -51.88
Mass density (g/cm3): 9.418

a b c (Å): 3.8870 4.1512 4.1512
angles (deg): 120.00 90.00 90.00
Fractional positions:
1 Pa 0.1663 0.0000 0.0000
2 Se 0.6666 0.6667 0.3333
3 F 0.1672 0.3333 0.6667

---

Repeat the third record exactly.
PaSeF after structural relaxation. Source: the Alexandria database, functional GGA-PBE.

Properties
Symmetry: P-6m2
E_tot (eV/atom): -7.200
Distance to the lowest polymorph of the same formula (meV per atom): 0.0
Formation energy without anion corrections (kcal/mol of atoms): -51.88
Mass density (g/cm3): 9.418

a b c (Å): 3.8870 4.1512 4.1512
angles (deg): 120.00 90.00 90.00
Fractional positions:
1 Pa 0.1663 0.0000 0.0000
2 Se 0.6666 0.6667 0.3333
3 F 0.1672 0.3333 0.6667

---

Q: Which of these has the highest formation energy without anion corrections?
A: Pa4Se5F2